Below is ZnCrO3 after structural relaxation, with properties calculated at the PBE+U level.

```
data_ZnCrO3
_space_group_name_H-M_alt 'C 1 2/c 1'
_space_group_IT_number 15
_cell_length_a 9.8495
_cell_length_b 8.6626
_cell_length_c 5.2492
_cell_angle_alpha 90.00
_cell_angle_beta 97.28
_cell_angle_gamma 90.00
loop_
_space_group_symop_operation_xyz
'x,y,z'
'-x,-y,-z'
'-x,y,-z+1/2'
'x,-y,z+1/2'
'x+1/2,y+1/2,z'
'-x+1/2,-y+1/2,-z'
'-x+1/2,y+1/2,-z+1/2'
'x+1/2,-y+1/2,z+1/2'
loop_
_atom_site_label
_atom_site_type_symbol
_atom_site_fract_x
_atom_site_fract_y
_atom_site_fract_z
Zn1 Zn 0.1949 0.0957 0.3126
Cr1 Cr 0.0000 0.2320 0.7500
Cr2 Cr 0.0000 0.4042 0.2500
O1 O 0.1006 0.4152 0.6114
O2 O 0.1031 0.2605 0.1001
O3 O 0.1295 0.1006 0.6508
```

## Properties
- Final energy: -6.234 eV/atom
- V: 444.3 Å³/cell
- Density: 4.95 Mg/m³